YMg4Pb | PBE-GGA | relaxed

Lattice parameters (Å, degrees): 6.0195 6.0195 6.0195 60.00 60.00 60.00
With the nearest neighbours (Å) after each atom.
Fractional positions:
Y: 0.0000 0.0000 0.0000  12 Mg 3.53, 4 Pb 3.69
Mg: 0.8767 0.3744 0.3744  6 Mg 3.00-3.02
Mg: 0.3744 0.3744 0.8767  6 Mg 3.00-3.02
Mg: 0.3744 0.8767 0.3744  6 Mg 3.00-3.02
Mg: 0.3744 0.3744 0.3744  6 Mg 3.00-3.02
Pb: 0.7500 0.7500 0.7500  12 Mg 3.53, 4 Y 3.69

Properties
calculated density	4.2	g cm⁻³
space-group type	F-43m
total DFT energy (no corrections)	-2.77	eV per atom
density of states at the Fermi level	0.91	states/eV/atom